Version i
VASP calculation (PBE) on a relaxed structure of TmScCoAg.

Values from the calculation:
space-group type	F-43m, No. 216
size of the total moment	0.3	μB per cell
N(E_F)	3.469	states/eV per cell

abc: 4.7638 4.7638 4.7638
angles: 60.00 60.00 60.00
Site moments in Bohr magnetons follow the coordinates.
Element x y z (fractional)
Sc 0.0000 0.0000 0.0000  -0.10
Tm 0.5000 0.5000 0.5000  -0.09
Co 0.2500 0.2500 0.2500  0.59
Ag 0.7500 0.7500 0.7500  0.00

=====

Version ii
VASP calculation (PBE) on a relaxed structure of TmScCoAg.

Values from the calculation:
space-group type	P4mm, No. 99
size of the total moment	0.4	μB per cell
N(E_F)	2.564	states/eV per cell

abc: 3.2242 3.2242 7.3436
angles: 90.00 90.00 90.00
Site moments in Bohr magnetons follow the coordinates.
Element x y z (fractional)
Tm 0.5000 0.5000 0.7863  -0.08
Sc 0.5000 0.5000 0.3552  -0.07
Co 0.0000 0.0000 0.5556  0.59
Ag 0.0000 0.0000 0.0876  0.00

=====

Most stable of them? version ii.

=====

Version i
VASP calculation (PBE) on a relaxed structure of CoAgSe3.

Values from the calculation:
space-group type	Pm-3m, No. 221
size of the total moment	1.7	μB per cell
N(E_F)	4.663	states/eV per cell

abc: 4.7363 4.7363 4.7363
angles: 90.00 90.00 90.00
Site moments in Bohr magnetons follow the coordinates.
Element x y z (fractional)
Co 0.0000 0.0000 0.0000  0.85
Se 0.0000 0.5000 0.0000  0.19
Se 0.0000 0.0000 0.5000  0.09
Se 0.5000 0.0000 0.0000  0.28
Ag 0.5000 0.5000 0.5000  0.03

=====

Version ii
VASP calculation (PBE) on a relaxed structure of CoAgSe3.

Values from the calculation:
space-group type	P-1, No. 2
size of the total moment	0.0	μB per cell
N(E_F)	6.103	states/eV per cell

abc: 6.3531 5.2472 7.5500
angles: 120.02 81.54 90.48
Element x y z (fractional)
Co 0.0000 0.0000 0.0000
Co 0.5000 0.0000 0.0000
Ag 0.6920 0.7963 0.4198
Ag 0.3080 0.2037 0.5802
Se 0.7797 0.6185 0.8290
Se 0.3006 0.7913 0.7136
Se 0.2204 0.3815 0.1710
Se 0.6994 0.2086 0.2864
Se 0.2207 0.8618 0.1721
Se 0.7793 0.1382 0.8279

=====

Most stable of them? version ii.

=====

Version i
VASP calculation (PBE) on a relaxed structure of CoAg3Se.

Values from the calculation:
space-group type	Pm-3m, No. 221
size of the total moment	2.0	μB per cell
N(E_F)	1.075	states/eV per cell

abc: 4.9964 4.9964 4.9964
angles: 90.00 90.00 90.00
Site moments in Bohr magnetons follow the coordinates.
Element x y z (fractional)
Co 0.5000 0.5000 0.5000  2.09
Se 0.0000 0.0000 0.0000  0.00
Ag 0.0000 0.5000 0.0000  -0.01
Ag 0.0000 0.0000 0.5000  -0.02
Ag 0.5000 0.0000 0.0000  0.02

=====

Version ii
VASP calculation (PBE) on a relaxed structure of CoAg3Se.

Values from the calculation:
space-group type	Pm-3m, No. 221
size of the total moment	2.0	μB per cell
N(E_F)	4.421	states/eV per cell

abc: 4.8059 4.8059 4.8059
angles: 90.00 90.00 90.00
Site moments in Bohr magnetons follow the coordinates.
Element x y z (fractional)
Co 0.0000 0.0000 0.0000  1.83
Se 0.5000 0.5000 0.5000  0.08
Ag 0.0000 0.5000 0.0000  0.03
Ag 0.0000 0.0000 0.5000  0.09
Ag 0.5000 0.0000 0.0000  -0.01

=====

Most stable of them? version ii.

=====

Version i
VASP calculation (PBE) on a relaxed structure of Co3SiAg.

Values from the calculation:
space-group type	Pm-3m, No. 221
size of the total moment	5.6	μB per cell
N(E_F)	13.435	states/eV per cell

abc: 4.6030 4.6030 4.6030
angles: 90.00 90.00 90.00
Site moments in Bohr magnetons follow the coordinates.
Element x y z (fractional)
Si 0.5000 0.5000 0.5000  -0.02
Co 0.0000 0.5000 0.0000  1.89
Co 0.0000 0.0000 0.5000  2.46
Co 0.5000 0.0000 0.0000  1.35
Ag 0.0000 0.0000 0.0000  0.09

=====

Version ii
VASP calculation (PBE) on a relaxed structure of Co3SiAg.

Values from the calculation:
space-group type	Pm-3m, No. 221
size of the total moment	3.7	μB per cell
N(E_F)	6.253	states/eV per cell

abc: 4.2152 4.2152 4.2152
angles: 90.00 90.00 90.00
Site moments in Bohr magnetons follow the coordinates.
Element x y z (fractional)
Si 0.0000 0.0000 0.0000  -0.06
Co 0.0000 0.5000 0.0000  1.32
Co 0.0000 0.0000 0.5000  1.15
Co 0.5000 0.0000 0.0000  1.48
Ag 0.5000 0.5000 0.5000  0.00

=====

Most stable of them? version ii.

=====

Version i
VASP calculation (PBE) on a relaxed structure of Sm2CoAg.

Values from the calculation:
space-group type	R3m, No. 160
size of the total moment	0.0	μB per cell
N(E_F)	1.825	states/eV per cell

abc: 3.9460 3.9460 7.8266
angles: 75.40 75.40 60.00
Element x y z (fractional)
Sm 0.0672 0.0672 0.7983
Sm 0.2661 0.2661 0.2017
Co 0.6657 0.6657 0.0028
Ag 0.5009 0.5009 0.4972

=====

Version ii
VASP calculation (PBE) on a relaxed structure of Sm2CoAg.

Values from the calculation:
space-group type	R-3m, No. 166
size of the total moment	0.0	μB per cell
N(E_F)	2.149	states/eV per cell

abc: 3.9230 3.9230 7.9149
angles: 75.65 75.65 60.00
Element x y z (fractional)
Co 0.0000 0.0000 0.0000
Ag 0.5000 0.5000 0.5000
Sm 0.7335 0.7335 0.7994
Sm 0.2665 0.2665 0.2006

=====

Version iii
VASP calculation (PBE) on a relaxed structure of Sm2CoAg.

Values from the calculation:
space-group type	P4/mmm, No. 123
size of the total moment	0.7	μB per cell
N(E_F)	3.470	states/eV per cell

abc: 3.4646 3.4646 7.6072
angles: 90.00 90.00 90.00
Site moments in Bohr magnetons follow the coordinates.
Element x y z (fractional)
Co 0.5000 0.5000 0.0000  0.97
Ag 0.5000 0.5000 0.5000  0.01
Sm 0.0000 0.0000 0.7785  -0.08
Sm 0.0000 0.0000 0.2215  -0.08

=====

Version iv
VASP calculation (PBE) on a relaxed structure of Sm2CoAg.

Values from the calculation:
space-group type	Fm-3m, No. 225
size of the total moment	0.5	μB per cell
N(E_F)	3.284	states/eV per cell

abc: 5.0521 5.0521 5.0521
angles: 60.00 60.00 60.00
Site moments in Bohr magnetons follow the coordinates.
Element x y z (fractional)
Co 0.0000 0.0000 0.0000  0.85
Ag 0.5000 0.5000 0.5000  -0.01
Sm 0.2500 0.2500 0.2500  -0.10
Sm 0.7500 0.7500 0.7500  -0.10

=====

Most stable of them? version iii.

=====

Version i
VASP calculation (PBE) on a relaxed structure of Sm7Co2Ag2.

Values from the calculation:
space-group type	Cmmm, No. 65
size of the total moment	0.0	μB per cell
N(E_F)	11.563	states/eV per cell

abc: 6.8051 7.0617 6.8051
angles: 90.00 110.68 90.00
Element x y z (fractional)
Sm 0.9998 0.2490 0.5003
Sm 0.5003 0.7510 0.9998
Sm 0.0002 0.7510 0.4997
Sm 0.4997 0.2490 0.0002
Sm 0.0000 0.0000 0.0000
Sm 0.5002 0.7602 0.4998
Sm 0.4998 0.2398 0.5002
Co 0.7024 0.0000 0.2976
Co 0.2976 0.0000 0.7024
Ag 0.8239 0.5000 0.8239
Ag 0.1761 0.5000 0.1761

=====

Version ii
VASP calculation (PBE) on a relaxed structure of Sm7Co2Ag2.

Values from the calculation:
space-group type	Imm2, No. 44
size of the total moment	0.0	μB per cell
N(E_F)	11.872	states/eV per cell

abc: 3.7483 9.5649 9.5649
angles: 61.65 78.70 78.70
Element x y z (fractional)
Sm 0.8159 0.0912 0.2769
Sm 0.8525 0.3994 0.8956
Sm 0.5000 0.0201 0.9799
Sm 0.6288 0.4711 0.2714
Sm 0.3712 0.7286 0.5289
Sm 0.1841 0.7231 0.9088
Sm 0.1475 0.1044 0.6006
Co 0.7423 0.8603 0.6550
Co 0.2577 0.3450 0.1397
Ag 0.0000 0.7591 0.2409
Ag 0.5000 0.3515 0.6485

=====

Most stable of them? version ii.

=====

Version i
VASP calculation (PBE) on a relaxed structure of Sm3CoAg.

Values from the calculation:
space-group type	P2_1/m, No. 11
size of the total moment	0.0	μB per cell
N(E_F)	9.357	states/eV per cell

abc: 3.8208 8.5399 8.5250
angles: 109.50 90.00 90.00
Element x y z (fractional)
Sm 0.7500 0.6811 0.3907
Sm 0.2500 0.3189 0.6093
Sm 0.7500 0.3196 0.9688
Sm 0.2500 0.9524 0.7648
Sm 0.2500 0.6804 0.0312
Sm 0.7500 0.0476 0.2352
Co 0.2500 0.9399 0.4190
Co 0.7500 0.0601 0.5810
Ag 0.2500 0.3618 0.2557
Ag 0.7500 0.6382 0.7443

=====

Version ii
VASP calculation (PBE) on a relaxed structure of Sm3CoAg.

Values from the calculation:
space-group type	Pm-3m, No. 221
size of the total moment	0.0	μB per cell
N(E_F)	4.909	states/eV per cell

abc: 5.2439 5.2439 5.2439
angles: 90.00 90.00 90.00
Element x y z (fractional)
Co 0.0000 0.0000 0.0000
Ag 0.5000 0.5000 0.5000
Sm 0.0000 0.5000 0.0000
Sm 0.0000 0.0000 0.5000
Sm 0.5000 0.0000 0.0000

=====

Most stable of them? version i.

=====

Version i
VASP calculation (PBE) on a relaxed structure of SmCo4Ag.

Values from the calculation:
space-group type	P-6m2, No. 187
size of the total moment	5.3	μB per cell
N(E_F)	7.868	states/eV per cell

abc: 4.1118 5.1083 5.1082
angles: 60.00 90.00 90.00
Site moments in Bohr magnetons follow the coordinates.
Element x y z (fractional)
Sm 0.0000 0.0000 0.0000  -0.23
Co 0.0000 0.6666 0.6667  1.35
Co 0.5000 0.5101 0.5101  1.51
Co 0.5000 0.5101 0.9798  1.51
Co 0.5000 0.9798 0.5101  1.51
Ag 0.0000 0.3333 0.3334  -0.02

=====

Version ii
VASP calculation (PBE) on a relaxed structure of SmCo4Ag.

Values from the calculation:
space-group type	F-43m, No. 216
size of the total moment	5.7	μB per cell
N(E_F)	6.393	states/eV per cell

abc: 5.0132 5.0132 5.0132
angles: 60.00 60.00 60.00
Site moments in Bohr magnetons follow the coordinates.
Element x y z (fractional)
Co 0.6244 0.6244 0.1268  1.56
Co 0.6244 0.1268 0.6244  1.56
Co 0.6244 0.6244 0.6244  1.56
Co 0.1268 0.6244 0.6244  1.56
Ag 0.2500 0.2500 0.2500  -0.01
Sm 0.0000 0.0000 0.0000  -0.23

=====

Most stable of them? version ii.

=====

Version i
VASP calculation (PBE) on a relaxed structure of Sm6CoAg2.

Values from the calculation:
space-group type	P2_1/c, No. 14
size of the total moment	0.0	μB per cell
N(E_F)	21.109	states/eV per cell

abc: 6.8500 7.4094 10.2724
angles: 90.00 88.80 90.00
Element x y z (fractional)
Sm 0.8819 0.9875 0.2509
Sm 0.8152 0.6905 0.5522
Sm 0.8246 0.6879 0.9469
Sm 0.6754 0.1879 0.5531
Sm 0.6848 0.1905 0.9478
Sm 0.6181 0.4875 0.2491
Sm 0.1181 0.0125 0.7491
Sm 0.1848 0.3095 0.4478
Sm 0.1754 0.3121 0.0531
Sm 0.3246 0.8121 0.4469
Sm 0.3152 0.8095 0.0522
Sm 0.3819 0.5125 0.7509
Co 0.5000 0.5000 0.0000
Co 0.0000 0.0000 0.5000
Ag 0.9496 0.3997 0.7493
Ag 0.5504 0.8997 0.7507
Ag 0.4496 0.1003 0.2493
Ag 0.0504 0.6003 0.2507

=====

Version ii
VASP calculation (PBE) on a relaxed structure of Sm6CoAg2.

Values from the calculation:
space-group type	Immm, No. 71
size of the total moment	0.4	μB per cell
N(E_F)	17.837	states/eV per cell

abc: 8.6188 8.6188 8.6188
angles: 73.03 70.25 111.74
Site moments in Bohr magnetons follow the coordinates.
Element x y z (fractional)
Sm 0.1674 0.7509 0.0818  -0.04
Sm 0.8326 0.2491 0.9182  -0.04
Sm 0.1674 0.2491 0.5835  -0.04
Sm 0.8326 0.7509 0.4165  -0.04
Sm 0.4523 0.2703 0.8180  -0.02
Sm 0.5477 0.7297 0.1820  -0.02
Sm 0.0883 0.2703 0.1820  -0.02
Sm 0.9117 0.7297 0.8180  -0.02
Sm 0.3324 0.0579 0.2745  0.00
Sm 0.6676 0.9421 0.7255  0.00
Sm 0.3324 0.6069 0.7255  0.00
Sm 0.6676 0.3931 0.2745  0.00
Co 0.5000 0.5000 0.0000  0.00
Co 0.0000 0.0000 0.0000  0.89
Ag 0.1382 0.6382 0.5000  0.00
Ag 0.8618 0.3618 0.5000  0.00
Ag 0.3528 0.0000 0.6472  0.00
Ag 0.6472 0.0000 0.3528  0.00

=====

Most stable of them? version i.

=====

Version i
VASP calculation (PBE) on a relaxed structure of SrCoAg2.

Values from the calculation:
space-group type	P2/m, No. 10
size of the total moment	1.4	μB per cell
N(E_F)	3.838	states/eV per cell

abc: 4.5136 3.4980 5.7891
angles: 74.62 90.00 90.00
Site moments in Bohr magnetons follow the coordinates.
Element x y z (fractional)
Ag 0.0000 0.0917 0.0467  0.00
Ag 0.0000 0.4083 0.4533  0.00
Co 0.5000 0.2500 0.2500  1.65
Sr 0.5000 0.7500 0.7500  -0.04

=====

Version ii
VASP calculation (PBE) on a relaxed structure of SrCoAg2.

Values from the calculation:
space-group type	F-43m, No. 216
size of the total moment	1.7	μB per cell
N(E_F)	7.199	states/eV per cell

abc: 4.9553 4.9553 4.9553
angles: 60.00 60.00 60.00
Site moments in Bohr magnetons follow the coordinates.
Element x y z (fractional)
Ag 0.0000 0.0000 0.0000  0.01
Ag 0.2500 0.2500 0.2500  0.00
Co 0.5000 0.5000 0.5000  1.74
Sr 0.7500 0.7500 0.7500  -0.02

=====

Version iii
VASP calculation (PBE) on a relaxed structure of SrCoAg2.

Values from the calculation:
space-group type	R-3m, No. 166
size of the total moment	1.5	μB per cell
N(E_F)	5.920	states/eV per cell

abc: 5.8966 5.8966 5.8966
angles: 45.20 45.20 45.20
Site moments in Bohr magnetons follow the coordinates.
Element x y z (fractional)
Ag 0.9509 0.9509 0.9509  0.01
Ag 0.5491 0.5491 0.5491  0.01
Co 0.2500 0.2500 0.2500  1.65
Sr 0.7500 0.7500 0.7500  -0.02

=====

Version iv
VASP calculation (PBE) on a relaxed structure of SrCoAg2.

Values from the calculation:
space-group type	Pmmm, No. 47
size of the total moment	1.8	μB per cell
N(E_F)	5.703	states/eV per cell

abc: 3.2960 3.6452 7.0222
angles: 90.00 90.00 90.00
Site moments in Bohr magnetons follow the coordinates.
Element x y z (fractional)
Ag 0.0000 0.0000 0.0574  0.00
Ag 0.0000 0.0000 0.4426  0.00
Co 0.5000 0.5000 0.2500  1.82
Sr 0.5000 0.5000 0.7500  0.01

=====

Most stable of them? version iii.

=====

Version i
VASP calculation (PBE) on a relaxed structure of SrCoAg3.

Values from the calculation:
space-group type	Pm-3m, No. 221
size of the total moment	1.4	μB per cell
N(E_F)	6.790	states/eV per cell

abc: 4.9408 4.9408 4.9408
angles: 90.00 90.00 90.00
Site moments in Bohr magnetons follow the coordinates.
Element x y z (fractional)
Sr 0.5000 0.5000 0.5000  -0.02
Co 0.0000 0.0000 0.0000  1.56
Ag 0.0000 0.5000 0.0000  0.01
Ag 0.0000 0.0000 0.5000  0.03
Ag 0.5000 0.0000 0.0000  -0.01

=====

Version ii
VASP calculation (PBE) on a relaxed structure of SrCoAg3.

Values from the calculation:
space-group type	Pm-3m, No. 221
size of the total moment	2.6	μB per cell
N(E_F)	4.811	states/eV per cell

abc: 5.6410 5.6410 5.6410
angles: 90.00 90.00 90.00
Site moments in Bohr magnetons follow the coordinates.
Element x y z (fractional)
Sr 0.0000 0.0000 0.0000  0.02
Co 0.5000 0.5000 0.5000  2.23
Ag 0.0000 0.5000 0.0000  0.04
Ag 0.0000 0.0000 0.5000  0.05
Ag 0.5000 0.0000 0.0000  0.00

=====

Most stable of them? version i.